Record 1
Compound: CdFePRu2
Source: the Alexandria database
Functional: GGA-PBE
Structure: optimized geometry

Lattice parameters (Å, degrees): 4.546 4.546 4.123 90.00 90.00 90.00
Fractional positions:
Cd1 0.000 0.000 0.000
Fe1 0.500 0.500 0.500
P1 0.500 0.500 0.000
Ru1 0.000 0.500 0.500
Ru2 0.500 0.000 0.500

Summary:
- volume (Å³/cell) = 85.2
- crystal system = tetragonal
- energy (eV/atom) = -5.763
- formation energy (eV/atom) = 0.91
- symmetry = P4/mmm (123)
- DOS at the Fermi energy (states/eV/f.u.) = 5.9

---

Record 2
Compound: CdFePS2
Source: the Alexandria database
Functional: GGA-PBE
Structure: optimized geometry

Lattice parameters (Å, degrees): 4.964 4.964 4.886 90.00 90.00 90.00
Fractional positions:
Cd1 0.000 0.000 0.000
Fe1 0.500 0.500 0.500
P1 0.000 0.000 0.500
S1 0.000 0.500 0.000
S2 0.500 0.000 0.000

Summary:
- volume (Å³/cell) = 120.4
- crystal system = tetragonal
- ΔE to the lowest computed polymorph (meV per atom) = 980
- raw formation energy (kJ/mol of atoms) = 124
- energy (eV/atom) = -3.323
- symmetry = P4/mmm (123)
- DOS at the Fermi energy (states/eV/f.u.) = 6.9

---

Record 3
Compound: CdFePS2
Source: the Alexandria database
Functional: GGA-PBE
Structure: optimized geometry

Lattice parameters (Å, degrees): 4.723 4.723 4.187 90.00 90.00 90.00
Fractional positions:
Cd1 0.000 0.000 0.000
Fe1 0.500 0.500 0.500
P1 0.500 0.500 0.000
S1 0.000 0.500 0.500
S2 0.500 0.000 0.500

Summary:
- volume (Å³/cell) = 93.4
- crystal system = tetragonal
- ΔE to the lowest computed polymorph (meV per atom) = 0
- raw formation energy (kJ/mol of atoms) = 29
- energy (eV/atom) = -4.303
- symmetry = P4/mmm (123)
- DOS at the Fermi energy (states/eV/f.u.) = 5.2

---

Record 4
Compound: SrCdFeP
Source: the Alexandria database
Functional: GGA-PBE
Structure: optimized geometry

Lattice parameters (Å, degrees): 3.910 3.910 11.512 90.00 90.00 90.00
Fractional positions:
Sr1 0.250 0.250 0.227
Sr2 0.750 0.750 0.773
Cd1 0.250 0.750 0.500
Cd2 0.750 0.250 0.500
Fe1 0.250 0.750 0.000
Fe2 0.750 0.250 0.000
P1 0.250 0.250 0.905
P2 0.750 0.750 0.095

Summary:
- volume (Å³/cell) = 176.0
- crystal system = tetragonal
- energy (eV/atom) = -4.693
- formation energy (eV/atom) = -0.58
- symmetry = P4/nmm (129)
- DOS at the Fermi energy (states/eV/f.u.) = 2.3

---

Record 5
Compound: SrCdFe2P
Source: the Alexandria database
Functional: GGA-PBE
Structure: optimized geometry

Lattice parameters (Å, degrees): 4.926 4.926 5.127 90.00 90.00 90.00
Fractional positions:
Sr1 0.000 0.000 0.000
Cd1 0.500 0.500 0.500
Fe1 0.000 0.500 0.500
Fe2 0.500 0.000 0.500
P1 0.500 0.500 0.000

Summary:
- volume (Å³/cell) = 124.4
- crystal system = tetragonal
- energy (eV/atom) = -4.112
- formation energy (eV/atom) = 0.87
- symmetry = P4/mmm (123)
- DOS at the Fermi energy (states/eV/f.u.) = 7.8

---

Record 6
Compound: Pa2CdFe
Source: the Alexandria database
Functional: GGA-PBE
Structure: optimized geometry

Lattice parameters (Å, degrees): 3.082 3.082 8.790 90.00 90.00 90.00
Fractional positions:
Pa1 0.000 0.000 0.204
Pa2 0.000 0.000 0.796
Cd1 0.500 0.500 0.500
Fe1 0.500 0.500 0.000

Summary:
- volume (Å³/cell) = 83.5
- crystal system = tetragonal
- ΔE to the lowest computed polymorph (meV per atom) = 0
- energy (eV/atom) = -7.141
- formation energy (eV/atom) = -0.05
- symmetry = P4/mmm (123)
- DOS at the Fermi energy (states/eV/f.u.) = 4.9

---

Record 7
Compound: PaCdFe
Source: the Alexandria database
Functional: GGA-PBE
Structure: optimized geometry

Lattice parameters (Å, degrees): 3.727 5.345 6.409 96.95 103.66 91.76
Fractional positions:
Pa1 0.127 0.304 0.306
Pa2 0.873 0.696 0.694
Cd1 0.435 0.221 0.857
Cd2 0.565 0.779 0.143
Fe1 0.213 0.820 0.482
Fe2 0.787 0.180 0.518

Summary:
- volume (Å³/cell) = 122.9
- crystal system = triclinic
- ΔE to the lowest computed polymorph (meV per atom) = 0
- energy (eV/atom) = -6.336
- formation energy (eV/atom) = -0.04
- symmetry = P-1 (2)
- DOS at the Fermi energy (states/eV/f.u.) = 2.3

---

Record 8
Compound: Pa2CdFe
Source: the Alexandria database
Functional: GGA-PBE
Structure: optimized geometry

Lattice parameters (Å, degrees): 8.570 8.570 8.570 24.53 24.53 24.53
Fractional positions:
Pa1 0.228 0.228 0.228
Pa2 0.772 0.772 0.772
Cd1 0.000 0.000 0.000
Fe1 0.500 0.500 0.500

Summary:
- volume (Å³/cell) = 95.4
- crystal system = trigonal
- ΔE to the lowest computed polymorph (meV per atom) = 109
- energy (eV/atom) = -7.032
- formation energy (eV/atom) = 0.06
- symmetry = R-3m (166)
- DOS at the Fermi energy (states/eV/f.u.) = 6.6

---

Record 9
Compound: PaCdFe
Source: the Alexandria database
Functional: GGA-PBE
Structure: optimized geometry

Lattice parameters (Å, degrees): 3.814 3.814 9.365 94.50 94.50 76.37
Fractional positions:
Pa1 0.071 0.071 0.176
Pa2 0.929 0.929 0.824
Cd1 0.302 0.302 0.586
Cd2 0.698 0.698 0.414
Fe1 0.309 0.309 0.014
Fe2 0.691 0.691 0.986

Summary:
- volume (Å³/cell) = 131.7
- crystal system = monoclinic
- ΔE to the lowest computed polymorph (meV per atom) = 55
- energy (eV/atom) = -6.281
- formation energy (eV/atom) = 0.01
- symmetry = C2/m (12)
- DOS at the Fermi energy (states/eV/f.u.) = 3.0

---

Record 10
Compound: Cd2FePb
Source: the Alexandria database
Functional: GGA-PBE
Structure: optimized geometry

Lattice parameters (Å, degrees): 5.465 5.465 5.465 133.42 133.42 68.00
Fractional positions:
Cd1 0.000 0.000 0.000
Cd2 0.750 0.250 0.500
Fe1 0.250 0.750 0.500
Pb1 0.500 0.500 0.000

Summary:
- volume (Å³/cell) = 84.6
- crystal system = tetragonal
- energy (eV/atom) = -3.082
- formation energy (eV/atom) = 0.42
- symmetry = I-4m2 (119)
- DOS at the Fermi energy (states/eV/f.u.) = 4.2

---

Record 11
Compound: Cd2FePb
Source: the Alexandria database
Functional: GGA-PBE
Structure: optimized geometry

Lattice parameters (Å, degrees): 3.277 4.882 5.654 90.00 104.71 90.00
Fractional positions:
Cd1 0.136 0.000 0.279
Cd2 0.864 0.000 0.721
Fe1 0.500 0.500 0.500
Pb1 0.500 0.500 0.000

Summary:
- volume (Å³/cell) = 87.5
- crystal system = monoclinic
- energy (eV/atom) = -3.105
- formation energy (eV/atom) = 0.40
- symmetry = P2/m (10)
- DOS at the Fermi energy (states/eV/f.u.) = 3.0

---

Record 12
Compound: CdFe2Pb
Source: the Alexandria database
Functional: GGA-PBE
Structure: optimized geometry

Lattice parameters (Å, degrees): 5.973 5.973 5.973 103.31 103.31 122.66
Fractional positions:
Cd1 0.000 0.000 0.000
Cd2 0.750 0.250 0.500
Fe1 0.122 0.125 0.497
Fe2 0.375 0.878 0.003
Fe3 0.628 0.625 0.503
Fe4 0.875 0.372 0.997
Pb1 0.250 0.750 0.500
Pb2 0.500 0.500 0.000

Summary:
- volume (Å³/cell) = 157.4
- crystal system = tetragonal
- ΔE to the lowest computed polymorph (meV per atom) = 462
- energy (eV/atom) = -4.616
- formation energy (eV/atom) = 0.77
- symmetry = I-42d (122)
- DOS at the Fermi energy (states/eV/f.u.) = 3.7

---

Record 13
Compound: CdFe2Pb
Source: the Alexandria database
Functional: GGA-PBE
Structure: optimized geometry

Lattice parameters (Å, degrees): 5.034 5.034 5.034 130.89 130.89 71.99
Fractional positions:
Cd1 0.000 0.000 0.000
Fe1 0.250 0.750 0.500
Fe2 0.750 0.250 0.500
Pb1 0.500 0.500 0.000

Summary:
- volume (Å³/cell) = 71.3
- crystal system = tetragonal
- ΔE to the lowest computed polymorph (meV per atom) = 248
- energy (eV/atom) = -4.831
- formation energy (eV/atom) = 0.56
- symmetry = I4/mmm (139)
- DOS at the Fermi energy (states/eV/f.u.) = 4.1

---

Record 14
Compound: Cd2FePb
Source: the Alexandria database
Functional: GGA-PBE
Structure: optimized geometry

Lattice parameters (Å, degrees): 4.983 4.983 4.983 60.00 60.00 60.00
Fractional positions:
Cd1 0.000 0.000 0.000
Cd2 0.250 0.250 0.250
Fe1 0.500 0.500 0.500
Pb1 0.750 0.750 0.750

Summary:
- volume (Å³/cell) = 87.5
- crystal system = cubic
- energy (eV/atom) = -3.012
- formation energy (eV/atom) = 0.49
- symmetry = F-43m (216)
- DOS at the Fermi energy (states/eV/f.u.) = 3.9

---

| no. | M_tot (μB per formula unit) |
| --- | --- |
| 1 | 0.000 |
| 2 | 3.203 |
| 3 | 1.703 |
| 4 | 0.000 |
| 5 | 5.981 |
| 6 | 0.419 |
| 7 | 0.000 |
| 8 | 0.001 |
| 9 | 0.000 |
| 10 | 2.562 |
| 11 | 2.626 |
| 12 | 5.454 |
| 13 | 5.408 |
| 14 | 2.864 |